Model A:
A relaxed structure of CsOs3Rh. Source: Alexandria via LeMat-Bulk, functional PBE.

a b c (Å): 4.8603 4.8603 4.8603
angles (deg): 90.00 90.00 90.00
With the nearest neighbours (Å) after each atom.
Positions (direct):
Cs 0.0000 0.0000 0.0000  6 Os 2.43
Os 0.0000 0.0000 0.5000  2 Cs 2.43
Os 0.0000 0.5000 0.0000  2 Cs 2.43
Os 0.5000 0.0000 0.0000  2 Cs 2.43
Rh 0.5000 0.5000 0.5000  12 Os 3.44

Summary:
Magnetic moment ... 4.8 μB/f.u.
Calculated volume ... 114.8 Å³/cell
Fermi-level density of states ... 8.06 states/eV per cell


Model B:
A relaxed structure of CsOs3Rh. Source: Alexandria via LeMat-Bulk, functional PBE.

a b c (Å): 4.8569 4.8569 4.8569
angles (deg): 90.00 90.00 90.00
With the nearest neighbours (Å) after each atom.
Positions (direct):
Cs 0.0000 0.0000 0.0000  12 Os 3.43
Os 0.0000 0.5000 0.5000  2 Rh 2.43
Os 0.5000 0.0000 0.5000  2 Rh 2.43
Os 0.5000 0.5000 0.0000  2 Rh 2.43
Rh 0.5000 0.5000 0.5000  6 Os 2.43

Summary:
Magnetic moment ... 0.0 μB/f.u.
Calculated volume ... 114.6 Å³/cell
Fermi-level density of states ... 10.36 states/eV per cell


Stability check: which of them is most stable? model B.


Model A:
A relaxed structure of CsOsRh. Source: Alexandria via LeMat-Bulk, functional PBE.

a b c (Å): 5.0166 4.1803 9.5019
angles (deg): 90.00 91.01 90.00
With the nearest neighbours (Å) after each atom.
Positions (direct):
Cs 0.2424 0.0000 0.3183  3 Os 3.61-3.62, 3 Rh 3.64-3.83
Cs 0.7576 0.5000 0.6817  3 Os 3.61-3.62, 3 Rh 3.64-3.83
Os 0.1207 0.4987 0.0128  2 Os 2.43, 4 Rh 2.52-2.63
Os 0.8793 0.9987 0.9872  2 Os 2.43, 4 Rh 2.52-2.63
Rh 0.3884 0.9986 0.9238  4 Os 2.52-2.63, 2 Rh 2.77
Rh 0.6116 0.4986 0.0762  4 Os 2.52-2.63, 2 Rh 2.77

Summary:
Magnetic moment ... 0.0 μB/f.u.
Calculated volume ... 199.2 Å³/cell
Fermi-level density of states ... 4.41 states/eV per cell


Model B:
A relaxed structure of CsOsRh. Source: Alexandria via LeMat-Bulk, functional PBE.

a b c (Å): 8.4212 4.2803 10.6098
angles (deg): 90.00 90.00 90.00
With the nearest neighbours (Å) after each atom.
Positions (direct):
Cs 0.0051 0.2500 0.1888  6 Os 3.67-4.05, 6 Rh 3.72-4.00
Cs 0.4949 0.7500 0.6888  6 Os 3.67-4.05, 6 Rh 3.72-4.00
Cs 0.5051 0.2500 0.3112  6 Os 3.67-4.05, 6 Rh 3.72-4.00
Cs 0.9949 0.7500 0.8112  6 Os 3.67-4.05, 6 Rh 3.72-4.00
Os 0.1421 0.7500 0.4483  3 Rh 2.39-2.40
Os 0.3579 0.2500 0.9483  3 Rh 2.39-2.40
Os 0.6421 0.7500 0.0517  3 Rh 2.39-2.40
Os 0.8579 0.2500 0.5517  3 Rh 2.39-2.40
Rh 0.1426 0.2500 0.5492  3 Os 2.39-2.40
Rh 0.3574 0.7500 0.0492  3 Os 2.39-2.40
Rh 0.6426 0.2500 0.9508  3 Os 2.39-2.40
Rh 0.8574 0.7500 0.4508  3 Os 2.39-2.40

Summary:
Magnetic moment ... 0.7 μB/f.u.
Calculated volume ... 382.4 Å³/cell
Fermi-level density of states ... 9.88 states/eV per cell


Model C:
A relaxed structure of CsOsRh. Source: Alexandria via LeMat-Bulk, functional PBE.

a b c (Å): 4.4846 13.6055 5.1583
angles (deg): 90.00 90.00 90.00
With the nearest neighbours (Å) after each atom.
Positions (direct):
Cs 0.0000 0.2172 0.2500  1 Os 3.28, 4 Cs 3.53
Cs 0.0000 0.7828 0.7500  1 Os 3.28, 4 Cs 3.53
Cs 0.5000 0.2828 0.7500  1 Os 3.28, 4 Cs 3.53
Cs 0.5000 0.7172 0.2500  1 Os 3.28, 4 Cs 3.53
Os 0.0000 0.0241 0.7500  4 Rh 2.61, 2 Os 2.66
Os 0.0000 0.9759 0.2500  4 Rh 2.61, 2 Os 2.66
Os 0.5000 0.4759 0.2500  4 Rh 2.61, 2 Os 2.66
Os 0.5000 0.5241 0.7500  4 Rh 2.61, 2 Os 2.66
Rh 0.0000 0.5000 0.0000  2 Rh 2.58, 4 Os 2.61
Rh 0.0000 0.5000 0.5000  2 Rh 2.58, 4 Os 2.61
Rh 0.5000 0.0000 0.0000  2 Rh 2.58, 4 Os 2.61
Rh 0.5000 0.0000 0.5000  2 Rh 2.58, 4 Os 2.61

Summary:
Magnetic moment ... 0.4 μB/f.u.
Calculated volume ... 314.7 Å³/cell
Fermi-level density of states ... 11.08 states/eV per cell


Stability check: which of them is most stable? model A.


Model A:
A relaxed structure of CsOsRu3. Source: Alexandria via LeMat-Bulk, functional PBE.

a b c (Å): 4.7619 4.7619 4.7619
angles (deg): 90.00 90.00 90.00
With the nearest neighbours (Å) after each atom.
Positions (direct):
Cs 0.0000 0.0000 0.0000  6 Ru 2.38
Os 0.5000 0.5000 0.5000  12 Ru 3.37
Ru 0.0000 0.0000 0.5000  2 Cs 2.38
Ru 0.0000 0.5000 0.0000  2 Cs 2.38
Ru 0.5000 0.0000 0.0000  2 Cs 2.38

Summary:
Magnetic moment ... 0.0 μB/f.u.
Calculated volume ... 108.0 Å³/cell
Fermi-level density of states ... 13.56 states/eV per cell


Model B:
A relaxed structure of CsOsRu3. Source: Alexandria via LeMat-Bulk, functional PBE.

a b c (Å): 4.8493 4.8493 4.8493
angles (deg): 90.00 90.00 90.00
With the nearest neighbours (Å) after each atom.
Positions (direct):
Cs 0.0000 0.0000 0.0000  12 Ru 3.43
Os 0.5000 0.5000 0.5000  6 Ru 2.42
Ru 0.0000 0.5000 0.5000  2 Os 2.42
Ru 0.5000 0.0000 0.5000  2 Os 2.42
Ru 0.5000 0.5000 0.0000  2 Os 2.42

Summary:
Magnetic moment ... 0.9 μB/f.u.
Calculated volume ... 114.0 Å³/cell
Fermi-level density of states ... 7.18 states/eV per cell


Stability check: which of them is most stable? model B.


Model A:
A relaxed structure of Cs2OsS. Source: Alexandria via LeMat-Bulk, functional PBE.

a b c (Å): 8.5258 8.5258 8.5258
angles (deg): 90.00 90.00 90.00
With the nearest neighbours (Å) after each atom.
Positions (direct):
Cs 0.2500 0.2500 0.2500  4 S 3.69, 4 Os 3.69
Cs 0.2500 0.2500 0.7500  4 S 3.69, 4 Os 3.69
Cs 0.2500 0.7500 0.2500  4 S 3.69, 4 Os 3.69
Cs 0.2500 0.7500 0.7500  4 S 3.69, 4 Os 3.69
Cs 0.7500 0.2500 0.2500  4 S 3.69, 4 Os 3.69
Cs 0.7500 0.2500 0.7500  4 S 3.69, 4 Os 3.69
Cs 0.7500 0.7500 0.2500  4 S 3.69, 4 Os 3.69
Cs 0.7500 0.7500 0.7500  4 S 3.69, 4 Os 3.69
Os 0.0000 0.0000 0.0000  8 Cs 3.69
Os 0.0000 0.5000 0.5000  8 Cs 3.69
Os 0.5000 0.0000 0.5000  8 Cs 3.69
Os 0.5000 0.5000 0.0000  8 Cs 3.69
S 0.0000 0.0000 0.5000  8 Cs 3.69
S 0.0000 0.5000 0.0000  8 Cs 3.69
S 0.5000 0.0000 0.0000  8 Cs 3.69
S 0.5000 0.5000 0.5000  8 Cs 3.69

Summary:
Magnetic moment ... 4.0 μB/f.u.
Calculated volume ... 619.7 Å³/cell
Fermi-level density of states ... 64.77 states/eV per cell


Model B:
A relaxed structure of Cs2OsS. Source: Alexandria via LeMat-Bulk, functional PBE.

a b c (Å): 12.9929 12.9929 4.3631
angles (deg): 90.00 90.00 90.00
With the nearest neighbours (Å) after each atom.
Positions (direct):
Cs 0.0769 0.2500 0.1250  2 Os 3.44, 2 S 3.77
Cs 0.2500 0.5769 0.3750  2 Os 3.44, 2 S 3.77
Cs 0.2500 0.9231 0.8750  2 Os 3.44, 2 S 3.77
Cs 0.4231 0.2500 0.6250  2 Os 3.44, 2 S 3.77
Cs 0.5769 0.7500 0.6250  2 Os 3.44, 2 S 3.77
Cs 0.7500 0.0769 0.8750  2 Os 3.44, 2 S 3.77
Cs 0.7500 0.4231 0.3750  2 Os 3.44, 2 S 3.77
Cs 0.9231 0.7500 0.1250  2 Os 3.44, 2 S 3.77
Os 0.0000 0.0000 0.0000  2 S 2.18
Os 0.0000 0.5000 0.2500  2 S 2.18
Os 0.5000 0.0000 0.7500  2 S 2.18
Os 0.5000 0.5000 0.5000  2 S 2.18
S 0.0000 0.0000 0.5000  2 Os 2.18
S 0.0000 0.5000 0.7500  2 Os 2.18
S 0.5000 0.0000 0.2500  2 Os 2.18
S 0.5000 0.5000 0.0000  2 Os 2.18

Summary:
Magnetic moment ... 0.0 μB/f.u.
Calculated volume ... 736.5 Å³/cell
Fermi-level density of states ... 11.91 states/eV per cell


Stability check: which of them is most stable? model B.


Model A:
A relaxed structure of CsOsS2. Source: Alexandria via LeMat-Bulk, functional PBE.

a b c (Å): 6.8851 6.8851 6.8851
angles (deg): 90.00 90.00 90.00
With the nearest neighbours (Å) after each atom.
Positions (direct):
Cs 0.0000 0.0000 0.0000  8 S 2.98
Cs 0.0000 0.5000 0.5000  8 S 2.98
Cs 0.5000 0.0000 0.5000  8 S 2.98
Cs 0.5000 0.5000 0.0000  8 S 2.98
Os 0.0000 0.0000 0.5000  8 S 2.98
Os 0.0000 0.5000 0.0000  8 S 2.98
Os 0.5000 0.0000 0.0000  8 S 2.98
Os 0.5000 0.5000 0.5000  8 S 2.98
S 0.2500 0.2500 0.2500  4 Os 2.98, 4 Cs 2.98
S 0.2500 0.2500 0.7500  4 Cs 2.98, 4 Os 2.98
S 0.2500 0.7500 0.2500  4 Cs 2.98, 4 Os 2.98
S 0.2500 0.7500 0.7500  4 Os 2.98, 4 Cs 2.98
S 0.7500 0.2500 0.2500  4 Cs 2.98, 4 Os 2.98
S 0.7500 0.2500 0.7500  4 Os 2.98, 4 Cs 2.98
S 0.7500 0.7500 0.2500  4 Os 2.98, 4 Cs 2.98
S 0.7500 0.7500 0.7500  4 Cs 2.98, 4 Os 2.98

Summary:
Magnetic moment ... 0.0 μB/f.u.
Calculated volume ... 326.4 Å³/cell
Fermi-level density of states ... 12.28 states/eV per cell


Model B:
A relaxed structure of CsOsS2. Source: Alexandria via LeMat-Bulk, functional PBE.

a b c (Å): 3.7668 3.7668 25.4438
angles (deg): 90.00 90.00 120.00
With the nearest neighbours (Å) after each atom.
Positions (direct):
Cs 0.0000 0.0000 0.0000  2 S 3.18
Cs 0.3333 0.6667 0.6667  2 S 3.18
Cs 0.6667 0.3333 0.3333  2 S 3.18
Os 0.0000 0.0000 0.5000  6 S 2.42
Os 0.3333 0.6667 0.1667  6 S 2.42
Os 0.6667 0.3333 0.8333  6 S 2.42
S 0.0000 0.0000 0.1250  3 Os 2.42
S 0.0000 0.0000 0.8750  3 Os 2.42
S 0.3333 0.6667 0.5417  3 Os 2.42
S 0.3333 0.6667 0.7916  3 Os 2.42
S 0.6667 0.3333 0.2084  3 Os 2.42
S 0.6667 0.3333 0.4583  3 Os 2.42

Summary:
Magnetic moment ... 0.0 μB/f.u.
Calculated volume ... 312.6 Å³/cell
Fermi-level density of states ... 13.12 states/eV per cell


Stability check: which of them is most stable? model B.


Model A:
A relaxed structure of CsSb3Os. Source: Alexandria via LeMat-Bulk, functional PBE.

a b c (Å): 6.0467 6.0467 6.0467
angles (deg): 90.00 90.00 90.00
With the nearest neighbours (Å) after each atom.
Positions (direct):
Cs 0.0000 0.0000 0.0000  6 Sb 3.02
Sb 0.0000 0.0000 0.5000  2 Cs 3.02
Sb 0.0000 0.5000 0.0000  2 Cs 3.02
Sb 0.5000 0.0000 0.0000  2 Cs 3.02
Os 0.5000 0.5000 0.5000  12 Sb 4.28

Summary:
Magnetic moment ... 4.2 μB/f.u.
Calculated volume ... 221.1 Å³/cell
Fermi-level density of states ... 9.72 states/eV per cell


Model B:
A relaxed structure of CsSb3Os. Source: Alexandria via LeMat-Bulk, functional PBE.

a b c (Å): 5.3745 5.3745 5.3745
angles (deg): 90.00 90.00 90.00
With the nearest neighbours (Å) after each atom.
Positions (direct):
Cs 0.0000 0.0000 0.0000  12 Sb 3.80
Sb 0.0000 0.5000 0.5000  2 Os 2.69
Sb 0.5000 0.0000 0.5000  2 Os 2.69
Sb 0.5000 0.5000 0.0000  2 Os 2.69
Os 0.5000 0.5000 0.5000  6 Sb 2.69

Summary:
Magnetic moment ... 0.0 μB/f.u.
Calculated volume ... 155.2 Å³/cell
Fermi-level density of states ... 6.41 states/eV per cell


Stability check: which of them is most stable? model B.


Model A:
A relaxed structure of CsSb2TeOs. Source: Alexandria via LeMat-Bulk, functional PBE.

a b c (Å): 6.1889 6.1889 6.1322
angles (deg): 90.00 90.00 90.00
With the nearest neighbours (Å) after each atom.
Positions (direct):
Cs 0.0000 0.0000 0.0000  2 Te 3.07, 4 Sb 3.09
Sb 0.0000 0.5000 0.0000  2 Cs 3.09
Sb 0.5000 0.0000 0.0000  2 Cs 3.09
Te 0.0000 0.0000 0.5000  2 Cs 3.07
Os 0.5000 0.5000 0.5000  8 Sb 4.36, 4 Te 4.38

Summary:
Magnetic moment ... 3.7 μB/f.u.
Calculated volume ... 234.9 Å³/cell
Fermi-level density of states ... 8.31 states/eV per cell


Model B:
A relaxed structure of CsSb2TeOs. Source: Alexandria via LeMat-Bulk, functional PBE.

a b c (Å): 5.1443 5.1443 6.2038
angles (deg): 90.00 90.00 90.00
With the nearest neighbours (Å) after each atom.
Positions (direct):
Cs 0.0000 0.0000 0.0000  4 Te 3.64, 8 Sb 4.03
Sb 0.0000 0.5000 0.5000  2 Os 2.57
Sb 0.5000 0.0000 0.5000  2 Os 2.57
Te 0.5000 0.5000 0.0000  2 Os 3.10
Os 0.5000 0.5000 0.5000  4 Sb 2.57

Summary:
Magnetic moment ... 0.0 μB/f.u.
Calculated volume ... 164.2 Å³/cell
Fermi-level density of states ... 6.17 states/eV per cell


Stability check: which of them is most stable? model B.


Model A:
A relaxed structure of CsSbTe2Os. Source: Alexandria via LeMat-Bulk, functional PBE.

a b c (Å): 6.4339 6.4339 6.2982
angles (deg): 90.00 90.00 90.00
With the nearest neighbours (Å) after each atom.
Positions (direct):
Cs 0.0000 0.0000 0.0000  2 Sb 3.15, 4 Te 3.22
Sb 0.0000 0.0000 0.5000  2 Cs 3.15
Te 0.0000 0.5000 0.0000  2 Cs 3.22
Te 0.5000 0.0000 0.0000  2 Cs 3.22
Os 0.5000 0.5000 0.5000  8 Te 4.50, 4 Sb 4.55

Summary:
Magnetic moment ... 5.0 μB/f.u.
Calculated volume ... 260.7 Å³/cell
Fermi-level density of states ... 8.73 states/eV per cell


Model B:
A relaxed structure of CsSbTe2Os. Source: Alexandria via LeMat-Bulk, functional PBE.

a b c (Å): 5.6722 5.6722 5.0871
angles (deg): 90.00 90.00 90.00
With the nearest neighbours (Å) after each atom.
Positions (direct):
Cs 0.0000 0.0000 0.0000  8 Te 3.81, 4 Sb 4.01
Sb 0.5000 0.5000 0.0000  2 Os 2.54
Te 0.0000 0.5000 0.5000  2 Os 2.84
Te 0.5000 0.0000 0.5000  2 Os 2.84
Os 0.5000 0.5000 0.5000  2 Sb 2.54, 4 Te 2.84

Summary:
Magnetic moment ... 1.3 μB/f.u.
Calculated volume ... 163.7 Å³/cell
Fermi-level density of states ... 7.36 states/eV per cell


Stability check: which of them is most stable? model B.